[1]
{
  "formula": "BaCu2Ni2",
  "functional": "GGA-PBE",
  "state": "relaxed",
  "cell": [[4.1843, 0.0000, 0.0000], [0.0000, 4.1843, 0.0000], [2.0922, 2.0922, 5.1122]],
  "species": ["Cu", "Cu", "Ba", "Ni", "Ni"],
  "fractional_positions": [[0.2500, 0.7500, 0.5000], [0.7500, 0.2500, 0.5000], [0.0000, 0.0000, 0.0000], [0.3825, 0.3825, 0.2349], [0.6175, 0.6175, 0.7651]],
  "volume_a3_per_cell": 89.5,
  "crystal_system": "tetragonal",
  "n_ef_per_ev_cell": 3.39,
  "formation_energy_ev_per_atom": 0.173,
  "space_group": "I4/mmm, No. 139"
}

=====

[2]
{
  "formula": "BaCu2Ni",
  "functional": "GGA-PBE",
  "state": "relaxed",
  "cell": [[5.1517, -0.7037, -0.1043], [1.1092, 5.0799, 0.1043], [-2.4049, -3.2260, 3.2947]],
  "species": ["Cu", "Cu", "Ni", "Ba"],
  "fractional_positions": [[0.0864, 0.0864, 0.0000], [0.4136, 0.4136, 0.0000], [0.2500, 0.7500, 0.5000], [0.7500, 0.2500, 0.5000]],
  "volume_a3_per_cell": 89.8,
  "crystal_system": "orthorhombic",
  "n_ef_per_ev_cell": 2.26,
  "formation_energy_ev_per_atom": 0.320,
  "space_group": "Immm, No. 71"
}

=====

[3]
{
  "formula": "BaCu2Ni",
  "functional": "GGA-PBE",
  "state": "relaxed",
  "cell": [[-0.5733, 1.9469, -2.5726], [-1.5277, -2.4666, -1.5263], [-6.0560, 1.9858, 2.8525]],
  "species": ["Cu", "Cu", "Ni", "Ba"],
  "fractional_positions": [[0.0000, 0.0000, 0.0825], [0.5000, 0.5000, 0.2576], [0.0000, 0.0000, 0.4198], [0.5000, 0.5000, 0.7400]],
  "volume_a3_per_cell": 75.0,
  "crystal_system": "tetragonal",
  "n_ef_per_ev_cell": 2.66,
  "formation_energy_ev_per_atom": 0.319,
  "space_group": "P4mm, No. 99"
}

=====

[4]
{
  "formula": "BaCu2Ni",
  "functional": "GGA-PBE",
  "state": "relaxed",
  "cell": [[-3.9009, -2.9404, -2.3147], [1.0237, -5.2939, -0.3844], [0.2203, 3.6934, 3.9410]],
  "species": ["Ba", "Cu", "Cu", "Ni"],
  "fractional_positions": [[0.7500, 0.2500, 0.5000], [0.0000, 0.0000, 0.0000], [0.5000, 0.5000, 0.0000], [0.2500, 0.7500, 0.5000]],
  "volume_a3_per_cell": 76.5,
  "crystal_system": "tetragonal",
  "n_ef_per_ev_cell": 0.52,
  "formation_energy_ev_per_atom": 0.482,
  "space_group": "I4/mmm, No. 139"
}